[1]
First-principles (PBE-GGA) data for a relaxed structure of La6Sm5Y2, as listed in the Alexandria database.

E_form: 0.0965 eV per atom
space group: Pbam (55)
total moment: 0.0000 μB/atom

a = 3.6737 Å, b = 11.8959 Å, c = 21.1539 Å
α = 90.00°, β = 90.00°, γ = 90.00°
Fractional coordinates of all 26 atoms:
Sm 0.5000 0.0000 0.5000
Sm 0.5000 0.0938 0.2267
Sm 0.5000 0.9062 0.7733
Sm 0.5000 0.5938 0.2733
Sm 0.5000 0.5000 0.0000
Sm 0.5000 0.3022 0.4434
Sm 0.5000 0.6978 0.5566
Sm 0.5000 0.8022 0.0566
Sm 0.5000 0.4062 0.7267
Sm 0.5000 0.1978 0.9434
La 0.0000 0.0617 0.0804
La 0.0000 0.0818 0.3673
La 0.5000 0.6744 0.8637
La 0.0000 0.5617 0.4196
La 0.5000 0.8256 0.3637
La 0.5000 0.3256 0.1363
La 0.0000 0.9383 0.9196
La 0.0000 0.9182 0.6327
La 0.5000 0.1744 0.6363
La 0.0000 0.4383 0.5804
La 0.0000 0.4182 0.8673
La 0.0000 0.5818 0.1327
Y 0.0000 0.3354 0.2899
Y 0.0000 0.1646 0.7899
Y 0.0000 0.8354 0.2101
Y 0.0000 0.6646 0.7101

---

[2]
First-principles (PBE-GGA) data for a relaxed structure of Er4Tl3S8, as listed in the Alexandria database.

space group: C2/m (12)
raw formation energy: -1346.3 meV/atom
total moment: 0.0000 μB/atom

a = 7.9578 Å, b = 8.1101 Å, c = 8.1101 Å
α = 89.78°, β = 118.84°, γ = 118.84°
Fractional coordinates of all 15 atoms:
Tl 0.5000 0.5000 0.5000
Tl 0.5000 0.0000 0.5000
Tl 0.5000 0.5000 0.0000
S 0.5383 0.7861 0.7861
S 0.0000 0.7599 0.2401
S 0.5000 0.7643 0.2357
S 0.4617 0.2139 0.2139
S 0.0000 0.2401 0.7599
S 0.0276 0.7725 0.7725
S 0.9724 0.2275 0.2275
S 0.5000 0.2357 0.7643
Er 0.5000 0.0000 0.0000
Er 0.0000 0.0000 0.0000
Er 0.0000 0.5000 0.0000
Er 0.0000 0.0000 0.5000

---

[3]
First-principles (PBE-GGA) data for a relaxed structure of AlGaI2N, as listed in the Alexandria database.

energy relative to the lowest polymorph listed for this composition: 0.0 kJ per mole of atoms
space group: P4/mmm (123)
raw formation energy: 41.0 meV/atom
total moment: 0.0000 μB/atom

a = 6.0684 Å, b = 6.0684 Å, c = 3.5213 Å
α = 90.00°, β = 90.00°, γ = 90.00°
Fractional coordinates of all 5 atoms:
Al 0.0000 0.0000 0.0000
Ga 0.5000 0.5000 0.5000
N 0.0000 0.0000 0.5000
I 0.5000 0.0000 0.0000
I 0.0000 0.5000 0.0000

---

Number 1: density of states at the Fermi level 35.9 states/eV per cell. Number 2: density of states at the Fermi level 5.3 states/eV per cell. Number 3: density of states at the Fermi level 4.2 states/eV per cell.